w.
The following is a GGA-PBE calculation of a relaxed structure of NdGdPO, from OQMD.

Unit cell a=4.3980 b=4.3980 c=8.8743 alpha=90.00 beta=90.00 gamma=90.00
Sites, in units of the cell vectors:
O 0.5000 0.5000 0.0000
O 0.0000 0.0000 0.0000
P 0.5000 0.0000 0.3087
P 0.0000 0.5000 0.6913
Gd 0.0000 0.0000 0.5000
Gd 0.5000 0.5000 0.5000
Nd 0.5000 0.0000 0.8897
Nd 0.0000 0.5000 0.1103

x.
The following is a GGA-PBE calculation of a relaxed structure of NdGdPO, from OQMD.

Unit cell a=4.2609 b=7.8636 c=5.5027 alpha=90.00 beta=90.00 gamma=90.00
Sites, in units of the cell vectors:
P 0.0000 0.1476 0.9390
P 0.0000 0.8524 0.4390
O 0.5000 0.3286 0.4371
O 0.5000 0.6714 0.9371
Gd 0.0000 0.2036 0.4387
Gd 0.0000 0.7964 0.9387
Nd 0.5000 0.6343 0.4392
Nd 0.5000 0.3657 0.9392

Which is most stable? The ranking, best first, is x, w.

w.
The following is a GGA-PBE calculation of a relaxed structure of NdGdPO, from OQMD.

Unit cell a=4.3345 b=4.3345 c=8.9454 alpha=90.00 beta=90.00 gamma=90.00
Sites, in units of the cell vectors:
O 0.5000 0.5000 0.0000
O 0.0000 0.0000 0.0000
P 0.0000 0.5000 0.7080
P 0.5000 0.0000 0.2920
Nd 0.0000 0.0000 0.5000
Nd 0.5000 0.5000 0.5000
Gd 0.0000 0.5000 0.1003
Gd 0.5000 0.0000 0.8997

x.
The following is a GGA-PBE calculation of a relaxed structure of NdGdPO, from OQMD.

Unit cell a=4.3113 b=7.5607 c=5.9361 alpha=90.00 beta=90.00 gamma=90.00
Sites, in units of the cell vectors:
Gd 0.5000 0.8794 0.0024
Gd 0.5000 0.1206 0.5024
O 0.5000 0.1649 0.8771
O 0.5000 0.8351 0.3771
P 0.0000 0.6714 0.9354
P 0.0000 0.3286 0.4354
Nd 0.0000 0.6988 0.4391
Nd 0.0000 0.3012 0.9391

Which is most stable? The ranking, best first, is x, w.

w.
The following is a GGA-PBE calculation of a relaxed structure of Nd3Gd3Te2Os, from OQMD.

Unit cell a=8.5784 b=8.5784 c=4.0134 alpha=90.00 beta=90.00 gamma=120.00
Sites, in units of the cell vectors:
Te 0.6667 0.3333 0.5000
Te 0.3333 0.6667 0.5000
Gd 0.5989 0.5989 0.0000
Gd 0.0000 0.4011 0.0000
Gd 0.4011 0.0000 0.0000
Nd 0.0000 0.7565 0.5000
Nd 0.2435 0.2435 0.5000
Nd 0.7565 0.0000 0.5000
Os 0.0000 0.0000 0.0000

x.
The following is a GGA-PBE calculation of a relaxed structure of Nd3Gd3Te2Os, from OQMD.

Unit cell a=8.5244 b=8.5244 c=4.0988 alpha=90.00 beta=90.00 gamma=120.00
Sites, in units of the cell vectors:
Gd 0.7639 0.0000 0.5000
Gd 0.2361 0.2361 0.5000
Gd 0.0000 0.7639 0.5000
Nd 0.5988 0.5988 0.0000
Nd 0.0000 0.4012 0.0000
Nd 0.4012 0.0000 0.0000
Te 0.6667 0.3333 0.5000
Te 0.3333 0.6667 0.5000
Os 0.0000 0.0000 0.0000

Which is most stable? The ranking, best first, is x, w.